{"formula": "Nd2Sm3Sb2", "functional": "PBE", "state": "optimized geometry", "sg": "C2/m", "e_form_raw_ev_per_atom": -0.655, "magmom_total_mub_per_fu": 0.001, "lattice": [[4.3520, 0.0000, 0.0000], [-2.1760, 6.1871, -0.0018], [0.0000, -2.8342, 8.3117]], "species": ["Sb", "Sb", "Sm", "Sm", "Sm", "Nd", "Nd"], "frac_coords": [[0.1707, 0.3415, 0.2000], [0.8293, 0.6585, 0.8000], [0.5000, 0.0000, 0.0000], [0.3730, 0.7459, 0.5511], [0.6270, 0.2541, 0.4489], [0.8631, 0.7261, 0.2027], [0.1369, 0.2739, 0.7973]]}